## Be2Ag2Hg (GGA-PBE)

Data for crystalline Be2Ag2Hg at its relaxed geometry.

Formation energy from the elements in eV per atom: 0.32
Space group: P4/mbm (127)
Polymorph energy (0 for the lowest one) in meV per atom: 114
Final energy in eV for the cell shown: -23.76
Spin magnetization in μB per atom: 0.000

Cell lengths 7.219, 7.219, 2.923 Å; angles 90.00, 90.00, 90.00 degrees
Sites, in units of the cell vectors:
Be: 0.150 0.350 0.000
Be: 0.350 0.850 0.000
Be: 0.650 0.150 0.000
Be: 0.850 0.650 0.000
Ag: 0.141 0.641 0.500
Ag: 0.359 0.141 0.500
Ag: 0.641 0.859 0.500
Ag: 0.859 0.359 0.500
Hg: 0.000 0.000 0.500
Hg: 0.500 0.500 0.500

## BeAgHg2 (GGA-PBE)

Data for crystalline BeAgHg2 at its relaxed geometry.

Formation energy from the elements in eV per atom: 0.40
Space group: Cmmm (65)
Final energy in eV for the cell shown: -5.59
Spin magnetization in μB per atom: 0.000

Cell lengths 4.901, 4.901, 3.145 Å; angles 90.00, 90.00, 103.56 degrees
Sites, in units of the cell vectors:
Be: 0.000 0.000 0.000
Ag: 0.500 0.500 0.000
Hg: 0.000 0.500 0.500
Hg: 0.500 0.000 0.500

## BeAgHg2 (GGA-PBE)

Data for crystalline BeAgHg2 at its relaxed geometry.

Formation energy from the elements in eV per atom: 0.42
Space group: I-4m2 (119)
Final energy in eV for the cell shown: -5.50
Spin magnetization in μB per atom: 0.000

Cell lengths 5.205, 5.205, 5.205 Å; angles 133.28, 133.28, 68.22 degrees
Sites, in units of the cell vectors:
Be: 0.000 0.000 0.000
Ag: 0.750 0.250 0.500
Hg: 0.250 0.750 0.500
Hg: 0.500 0.500 0.000

## LaBeAg2Hg (GGA-PBE)

Data for crystalline LaBeAg2Hg at its relaxed geometry.

Formation energy from the elements in eV per atom: -0.08
Space group: P4/mmm (123)
Final energy in eV for the cell shown: -15.05
Spin magnetization in μB per atom: 0.000

Cell lengths 4.760, 4.760, 4.737 Å; angles 90.00, 90.00, 90.00 degrees
Sites, in units of the cell vectors:
La: 0.000 0.000 0.000
Be: 0.500 0.500 0.500
Ag: 0.000 0.500 0.500
Ag: 0.500 0.000 0.500
Hg: 0.500 0.500 0.000

## LiBeAgHg (GGA-PBE)

Data for crystalline LiBeAgHg at its relaxed geometry.

Formation energy from the elements in eV per atom: 0.00
Space group: F-43m (216)
Final energy in eV for the cell shown: -8.80
Spin magnetization in μB per atom: 0.000

Cell lengths 4.383, 4.383, 4.383 Å; angles 60.00, 60.00, 60.00 degrees
Sites, in units of the cell vectors:
Li: 0.000 0.000 0.000
Be: 0.500 0.500 0.500
Ag: 0.750 0.750 0.750
Hg: 0.250 0.250 0.250

## NaBeAgHg2 (GGA-PBE)

Data for crystalline NaBeAgHg2 at its relaxed geometry.

Formation energy from the elements in eV per atom: 0.07
Space group: P4/mmm (123)
Final energy in eV for the cell shown: -8.15
Spin magnetization in μB per atom: 0.000

Cell lengths 4.770, 4.770, 4.755 Å; angles 90.00, 90.00, 90.00 degrees
Sites, in units of the cell vectors:
Na: 0.000 0.000 0.000
Be: 0.500 0.500 0.500
Ag: 0.500 0.500 0.000
Hg: 0.000 0.500 0.500
Hg: 0.500 0.000 0.500

## BeNiAg2Hg (GGA-PBE)

Data for crystalline BeNiAg2Hg at its relaxed geometry.

Formation energy from the elements in eV per atom: 1.38
Space group: P4/mmm (123)
Final energy in eV for the cell shown: -8.63
Spin magnetization in μB per atom: 0.000

Cell lengths 5.164, 5.164, 4.799 Å; angles 90.00, 90.00, 90.00 degrees
Sites, in units of the cell vectors:
Be: 0.000 0.000 0.000
Ni: 0.500 0.500 0.000
Ag: 0.000 0.500 0.500
Ag: 0.500 0.000 0.500
Hg: 0.500 0.500 0.500

## Be2SiAgHg (GGA-PBE)

Data for crystalline Be2SiAgHg at its relaxed geometry.

Formation energy without anion corrections in eV per atom: 0.884
Space group: P4/mmm (123)
Final energy in eV for the cell shown: -11.61
Spin magnetization in μB per atom: 0.000

Cell lengths 4.470, 4.470, 4.790 Å; angles 90.00, 90.00, 90.00 degrees
Sites, in units of the cell vectors:
Be: 0.000 0.500 0.000
Be: 0.500 0.000 0.000
Si: 0.000 0.000 0.500
Ag: 0.000 0.000 0.000
Hg: 0.500 0.500 0.500

## SrBeAg2Hg (GGA-PBE)

Data for crystalline SrBeAg2Hg at its relaxed geometry.

Formation energy from the elements in eV per atom: -0.09
Space group: P4/mmm (123)
Final energy in eV for the cell shown: -11.85
Spin magnetization in μB per atom: 0.000

Cell lengths 4.810, 4.810, 4.764 Å; angles 90.00, 90.00, 90.00 degrees
Sites, in units of the cell vectors:
Sr: 0.000 0.000 0.000
Be: 0.500 0.500 0.500
Ag: 0.000 0.500 0.500
Ag: 0.500 0.000 0.500
Hg: 0.500 0.500 0.000

## SrBeAgHg2 (GGA-PBE)

Data for crystalline SrBeAgHg2 at its relaxed geometry.

Formation energy from the elements in eV per atom: -0.13
Space group: P4/mmm (123)
Final energy in eV for the cell shown: -9.49
Spin magnetization in μB per atom: 0.000

Cell lengths 4.865, 4.865, 4.864 Å; angles 90.00, 90.00, 90.00 degrees
Sites, in units of the cell vectors:
Sr: 0.000 0.000 0.000
Be: 0.500 0.500 0.500
Ag: 0.500 0.500 0.000
Hg: 0.000 0.500 0.500
Hg: 0.500 0.000 0.500

## TiBe2AgHg (GGA-PBE)

Data for crystalline TiBe2AgHg at its relaxed geometry.

Formation energy from the elements in eV per atom: 1.01
Space group: P4/mmm (123)
Final energy in eV for the cell shown: -13.43
Spin magnetization in μB per atom: 0.407

Cell lengths 4.403, 4.403, 5.110 Å; angles 90.00, 90.00, 90.00 degrees
Sites, in units of the cell vectors:
Ti: 0.000 0.000 0.000
Be: 0.000 0.500 0.500
Be: 0.500 0.000 0.500
Ag: 0.500 0.500 0.000
Hg: 0.500 0.500 0.500

## PmHoBeAg (GGA-PBE)

Data for crystalline PmHoBeAg at its relaxed geometry.

Formation energy from the elements in eV per atom: -0.03
Space group: F-43m (216)
Final energy in eV for the cell shown: -16.03
Spin magnetization in μB per atom: 0.000

Cell lengths 5.073, 5.073, 5.073 Å; angles 60.00, 60.00, 60.00 degrees
Sites, in units of the cell vectors:
Pm: 0.000 0.000 0.000
Ho: 0.500 0.500 0.500
Be: 0.250 0.250 0.250
Ag: 0.750 0.750 0.750

## SmHoBeAg (GGA-PBE)

Data for crystalline SmHoBeAg at its relaxed geometry.

Formation energy from the elements in eV per atom: -0.04
Space group: F-43m (216)
Final energy in eV for the cell shown: -16.03
Spin magnetization in μB per atom: 0.000

Cell lengths 5.058, 5.058, 5.058 Å; angles 60.00, 60.00, 60.00 degrees
Sites, in units of the cell vectors:
Sm: 0.000 0.000 0.000
Ho: 0.500 0.500 0.500
Be: 0.750 0.750 0.750
Ag: 0.250 0.250 0.250

## TbHoBeAg (GGA-PBE)

Data for crystalline TbHoBeAg at its relaxed geometry.

Formation energy from the elements in eV per atom: -0.06
Space group: F-43m (216)
Final energy in eV for the cell shown: -16.04
Spin magnetization in μB per atom: 0.000

Cell lengths 5.012, 5.012, 5.012 Å; angles 60.00, 60.00, 60.00 degrees
Sites, in units of the cell vectors:
Tb: 0.000 0.000 0.000
Ho: 0.500 0.500 0.500
Be: 0.750 0.750 0.750
Ag: 0.250 0.250 0.250

## YHoBeAg (GGA-PBE)

Data for crystalline YHoBeAg at its relaxed geometry.

Formation energy from the elements in eV per atom: -0.07
Space group: F-43m (216)
Final energy in eV for the cell shown: -17.91
Spin magnetization in μB per atom: 0.000

Cell lengths 5.008, 5.008, 5.008 Å; angles 60.00, 60.00, 60.00 degrees
Sites, in units of the cell vectors:
Y: 0.000 0.000 0.000
Ho: 0.500 0.500 0.500
Be: 0.750 0.750 0.750
Ag: 0.250 0.250 0.250

## BeAgI4 (GGA-PBE)

Data for crystalline BeAgI4 at its relaxed geometry.

Formation energy without anion corrections in eV per atom: -0.170
Space group: P4_2/mmc (131)
Final energy in eV for the cell shown: -27.60
Spin magnetization in μB per atom: 0.000

Cell lengths 7.754, 7.754, 9.949 Å; angles 90.00, 90.00, 90.00 degrees
Sites, in units of the cell vectors:
Be: 0.000 0.500 0.000
Be: 0.500 0.000 0.500
Ag: 0.000 0.000 0.000
Ag: 0.000 0.000 0.500
I: 0.232 0.275 0.000
I: 0.232 0.725 0.000
I: 0.275 0.232 0.500
I: 0.275 0.768 0.500
I: 0.725 0.232 0.500
I: 0.725 0.768 0.500
I: 0.768 0.275 0.000
I: 0.768 0.725 0.000

## Be2AgI6 (GGA-PBE)

Data for crystalline Be2AgI6 at its relaxed geometry.

Formation energy without anion corrections in eV per atom: -0.347
Space group: C2/c (15)
Final energy in eV for the cell shown: -45.45
Spin magnetization in μB per atom: 0.000

Cell lengths 10.830, 10.830, 6.830 Å; angles 108.37, 108.37, 95.80 degrees
Sites, in units of the cell vectors:
Be: 0.179 0.320 0.363
Be: 0.320 0.179 0.863
Be: 0.680 0.821 0.137
Be: 0.821 0.680 0.637
Ag: 0.250 0.750 0.750
Ag: 0.750 0.250 0.250
I: 0.044 0.752 0.915
I: 0.179 0.318 0.719
I: 0.248 0.956 0.585
I: 0.254 0.543 0.382
I: 0.318 0.179 0.219
I: 0.457 0.746 0.118
I: 0.543 0.254 0.882
I: 0.682 0.821 0.781
I: 0.746 0.457 0.618
I: 0.752 0.044 0.415
I: 0.821 0.682 0.281
I: 0.956 0.248 0.085

## Be2Ag2I (GGA-PBE)

Data for crystalline Be2Ag2I at its relaxed geometry.

Formation energy without anion corrections in eV per atom: 0.613
Space group: P4/mbm (127)
Polymorph energy (0 for the lowest one) in meV per atom: 240
Final energy in eV for the cell shown: -23.28
Spin magnetization in μB per atom: 0.000

Cell lengths 6.970, 6.970, 3.719 Å; angles 90.00, 90.00, 90.00 degrees
Sites, in units of the cell vectors:
Be: 0.115 0.385 0.000
Be: 0.385 0.885 0.000
Be: 0.615 0.115 0.000
Be: 0.885 0.615 0.000
Ag: 0.141 0.641 0.500
Ag: 0.359 0.141 0.500
Ag: 0.641 0.859 0.500
Ag: 0.859 0.359 0.500
I: 0.000 0.000 0.000
I: 0.500 0.500 0.000

## Be2Ag2I (GGA-PBE)

Data for crystalline Be2Ag2I at its relaxed geometry.

Formation energy without anion corrections in eV per atom: 0.576
Space group: I4/mmm (139)
Polymorph energy (0 for the lowest one) in meV per atom: 203
Final energy in eV for the cell shown: -11.82
Spin magnetization in μB per atom: 0.000

Cell lengths 6.452, 6.452, 6.452 Å; angles 144.49, 144.49, 51.10 degrees
Sites, in units of the cell vectors:
Be: 0.098 0.098 0.000
Be: 0.902 0.902 0.000
Ag: 0.250 0.750 0.500
Ag: 0.750 0.250 0.500
I: 0.500 0.500 0.000

## BeAg2I (GGA-PBE)

Data for crystalline BeAg2I at its relaxed geometry.

Formation energy without anion corrections in eV per atom: 0.429
Space group: I-42d (122)
Polymorph energy (0 for the lowest one) in meV per atom: 0
Final energy in eV for the cell shown: -18.53
Spin magnetization in μB per atom: 0.000

Cell lengths 8.615, 8.615, 8.615 Å; angles 146.28, 146.28, 48.43 degrees
Sites, in units of the cell vectors:
Be: 0.000 0.000 0.000
Be: 0.750 0.250 0.500
Ag: 0.014 0.625 0.889
Ag: 0.375 0.264 0.389
Ag: 0.736 0.125 0.111
Ag: 0.875 0.986 0.611
I: 0.250 0.750 0.500
I: 0.500 0.500 0.000

## Be2AgI (GGA-PBE)

Data for crystalline Be2AgI at its relaxed geometry.

Formation energy without anion corrections in eV per atom: 1.180
Space group: Fm-3m (225)
Polymorph energy (0 for the lowest one) in meV per atom: 496
Final energy in eV for the cell shown: -7.13
Spin magnetization in μB per atom: 0.000

Cell lengths 4.652, 4.652, 4.652 Å; angles 60.00, 60.00, 60.00 degrees
Sites, in units of the cell vectors:
Be: 0.250 0.250 0.250
Be: 0.750 0.750 0.750
Ag: 0.000 0.000 0.000
I: 0.500 0.500 0.500

## BeAg2I (GGA-PBE)

Data for crystalline BeAg2I at its relaxed geometry.

Formation energy without anion corrections in eV per atom: 0.822
Space group: Fm-3m (225)
Polymorph energy (0 for the lowest one) in meV per atom: 393
Final energy in eV for the cell shown: -7.69
Spin magnetization in μB per atom: 0.000

Cell lengths 4.976, 4.976, 4.976 Å; angles 60.00, 60.00, 60.00 degrees
Sites, in units of the cell vectors:
Be: 0.000 0.000 0.000
Ag: 0.250 0.250 0.250
Ag: 0.750 0.750 0.750
I: 0.500 0.500 0.500

## BeAg2I2 (GGA-PBE)

Data for crystalline BeAg2I2 at its relaxed geometry.

Formation energy without anion corrections in eV per atom: 0.545
Space group: P4/mbm (127)
Polymorph energy (0 for the lowest one) in meV per atom: 29
Final energy in eV for the cell shown: -19.61
Spin magnetization in μB per atom: 0.000

Cell lengths 7.713, 7.713, 4.694 Å; angles 90.00, 90.00, 90.00 degrees
Sites, in units of the cell vectors:
Be: 0.000 0.000 0.000
Be: 0.500 0.500 0.000
Ag: 0.123 0.377 0.500
Ag: 0.377 0.877 0.500
Ag: 0.623 0.123 0.500
Ag: 0.877 0.623 0.500
I: 0.223 0.723 0.000
I: 0.277 0.223 0.000
I: 0.723 0.777 0.000
I: 0.777 0.277 0.000

## Be2Ag2I (GGA-PBE)

Data for crystalline Be2Ag2I at its relaxed geometry.

Formation energy without anion corrections in eV per atom: 0.373
Space group: I4/mmm (139)
Polymorph energy (0 for the lowest one) in meV per atom: 0
Final energy in eV for the cell shown: -12.84
Spin magnetization in μB per atom: 0.000

Cell lengths 7.813, 7.813, 7.813 Å; angles 153.59, 153.59, 37.69 degrees
Sites, in units of the cell vectors:
Be: 0.250 0.750 0.500
Be: 0.750 0.250 0.500
Ag: 0.138 0.138 0.000
Ag: 0.862 0.862 0.000
I: 0.500 0.500 0.000

## BeAg2I2 (GGA-PBE)

Data for crystalline BeAg2I2 at its relaxed geometry.

Formation energy without anion corrections in eV per atom: 0.516
Space group: I4/mmm (139)
Polymorph energy (0 for the lowest one) in meV per atom: 0
Final energy in eV for the cell shown: -9.95
Spin magnetization in μB per atom: 0.000

Cell lengths 8.679, 8.679, 8.679 Å; angles 150.49, 150.49, 42.22 degrees
Sites, in units of the cell vectors:
Be: 0.000 0.000 0.000
Ag: 0.250 0.750 0.500
Ag: 0.750 0.250 0.500
I: 0.369 0.369 0.000
I: 0.631 0.631 0.000

## Be2AgI (GGA-PBE)

Data for crystalline Be2AgI at its relaxed geometry.

Formation energy without anion corrections in eV per atom: 0.684
Space group: I-42d (122)
Polymorph energy (0 for the lowest one) in meV per atom: 0
Final energy in eV for the cell shown: -18.24
Spin magnetization in μB per atom: 0.000

Cell lengths 6.254, 6.254, 6.254 Å; angles 121.91, 121.91, 86.73 degrees
Sites, in units of the cell vectors:
Be: 0.098 0.625 0.973
Be: 0.375 0.348 0.473
Be: 0.652 0.125 0.027
Be: 0.875 0.902 0.527
Ag: 0.000 0.000 0.000
Ag: 0.750 0.250 0.500
I: 0.250 0.750 0.500
I: 0.500 0.500 0.000

## BeAg2I4 (GGA-PBE)

Data for crystalline BeAg2I4 at its relaxed geometry.

Formation energy without anion corrections in eV per atom: -0.351
Space group: I-42m (121)
Final energy in eV for the cell shown: -18.08
Spin magnetization in μB per atom: 0.000

Cell lengths 7.648, 7.648, 7.648 Å; angles 126.07, 126.07, 79.77 degrees
Sites, in units of the cell vectors:
Be: 0.000 0.000 0.000
Ag: 0.000 0.500 0.500
Ag: 0.500 0.000 0.500
I: 0.081 0.674 0.000
I: 0.326 0.326 0.406
I: 0.674 0.081 0.000
I: 0.919 0.919 0.594